Here is Ta2TiSn after structural relaxation from Alexandria via LeMat-Bulk. Energies are from PBE-GGA.

Calculated values
* crystal system: monoclinic

Cell: 3.5073 4.5044 10.0530 Å, 102.93 90.00 90.00°
Sites, in units of the cell vectors:
Ta1 0.7500 0.4390 0.8783
Ta2 0.2500 0.5610 0.1217
Ta3 0.2500 0.9444 0.8887
Ta4 0.7500 0.0556 0.1113
Ti1 0.2500 0.3160 0.6338
Ti2 0.7500 0.6840 0.3662
Sn1 0.7500 0.8263 0.6542
Sn2 0.2500 0.1737 0.3458

Here is TaTi12Sn3 after structural relaxation from Alexandria via LeMat-Bulk. Energies are from PBE-GGA.

Calculated values
* crystal system: orthorhombic

Cell: 5.2197 5.2443 10.4305 Å, 90.00 90.00 90.00°
Sites, in units of the cell vectors:
Ta1 0.0000 0.0000 0.5000
Ti1 0.5000 0.0000 0.3732
Ti2 0.5000 0.0000 0.8799
Ti3 0.7502 0.5000 0.0000
Ti4 0.7589 0.5000 0.5000
Ti5 0.0000 0.7525 0.2575
Ti6 0.0000 0.7525 0.7425
Ti7 0.5000 0.0000 0.1201
Ti8 0.5000 0.0000 0.6268
Ti9 0.2498 0.5000 0.0000
Ti10 0.2411 0.5000 0.5000
Ti11 0.0000 0.2475 0.2575
Ti12 0.0000 0.2475 0.7425
Sn1 0.5000 0.5000 0.2485
Sn2 0.5000 0.5000 0.7515
Sn3 0.0000 0.0000 0.0000

Here is TaTiSn3 after structural relaxation from Alexandria via LeMat-Bulk. Energies are from PBE-GGA.

Calculated values
* energy above the most stable polymorph in this dataset: 0 meV per atom
* crystal system: cubic

Cell: 5.3195 5.3195 5.3195 Å, 90.00 90.00 90.00°
Each line ends with the local moment (μB).
Sites, in units of the cell vectors:
Ti1 0.5000 0.5000 0.5000  -0.39
Sn1 0.0000 0.5000 0.0000  0.01
Sn2 0.0000 0.0000 0.5000  0.01
Sn3 0.5000 0.0000 0.0000  -0.01
Ta1 0.0000 0.0000 0.0000  0.25

| no. | DFT total energy (eV/atom) | DFT formation energy (eV/atom) |
| --- | --- | --- |
| 1 | -9.025 | -0.12 |
| 2 | -7.621 | -0.21 |
| 3 | -5.426 | 0.93 |